# Ni3HgO4 (PBE with a Hubbard U, relaxed)
# - space-group type = Cc
# - magnetization (Bohr magnetons per cell) = 12.0
# - energy (eV/atom) = -4.090
data_Ni3HgO4
_cell_length_a 5.281
_cell_length_b 6.170
_cell_length_c 7.372
_cell_angle_alpha 107.47
_cell_angle_beta 90.00
_cell_angle_gamma 115.34
_symmetry_space_group_name_H-M 'P 1'
_symmetry_Int_Tables_number 1
loop_
_symmetry_equiv_pos_as_xyz
'x,y,z'
loop_
_atom_site_label
_atom_site_fract_x
_atom_site_fract_y
_atom_site_fract_z
O1 0.884 0.476 0.115
O2 0.300 0.180 0.894
O3 0.592 0.476 0.615
O4 0.460 0.573 0.300
O5 0.880 0.180 0.394
O6 0.113 0.573 0.800
O7 0.761 0.808 0.995
O8 0.047 0.808 0.495
Ni1 0.962 0.827 0.757
Ni2 0.241 0.478 0.544
Ni3 0.737 0.440 0.360
Ni4 0.703 0.440 0.860
Ni5 0.865 0.827 0.257
Ni6 0.237 0.478 0.044
Hg1 0.482 0.998 0.486
Hg2 0.517 0.998 0.986